The following is a PBE calculation of a relaxed structure of KCd2HgF8, from the Alexandria database.

Computed properties:
Fermi-level density of states: 6.17 states/eV/cell
E_tot: -3.43 eV/atom
formation energy without anion corrections: -1.92 eV per atom
spin magnetization: 1.06 Bohr magnetons per cell
ρ: 5.46 g cm⁻³

Cell: 4.516 7.370 5.650 Å, 90.00 93.82 90.00°
Space group P2/m (No. 10)
Asymmetric unit:
K: 0.000 0.000 0.000
Cd: 0.500 0.254 0.500
Hg: 0.000 0.500 0.000
F: 0.050 0.287 0.262
F: 0.450 0.500 0.742
F: 0.463 0.000 0.727

=====

The following is a PBE calculation of a relaxed structure of K3Cd2HgF9, from the Alexandria database.

Computed properties:
Fermi-level density of states: 0.00 states/eV/cell
E_tot: -3.76 eV/atom
formation energy without anion corrections: -2.28 eV per atom
spin magnetization: 0.00 Bohr magnetons per cell
ρ: 4.31 g cm⁻³

Cell: 6.3768 6.3768 7.8112 Å, 90.00 90.00 120.00°
Space group P-3m1 (No. 164)
Asymmetric unit:
K: 0.0000 0.0000 0.0000
K: 0.3333 0.6667 0.6590
Cd: 0.3333 0.6667 0.1609
Hg: 0.0000 0.0000 0.5000
F: 0.0000 0.5000 0.0000
F: 0.1703 0.3405 0.3297

=====

Q: ρ of number 1 (KCd2HgF8)?
A: 5.46 g cm⁻³

=====

Q: formation energy without anion corrections of number 2 (K3Cd2HgF9)?
A: -2.28 eV per atom

=====

Q: What is the spin magnetization in the first record?
A: 1.06 Bohr magnetons per cell

=====

Q: Which formula does entry 2 have?
A: K3Cd2HgF9